Entry 1:
This record from Alexandria describes Cd2Ga2Bi at its PBEsol-relaxed geometry. The functional is meta-GGA SCAN.

## Properties
Formation energy from the elements, eV/atom: 0.157
V, A^3/atom: 22.22

Cell lengths 8.353, 8.353, 3.185 Å; angles 90.00, 90.00, 90.00 degrees
Positions (direct):
Cd (0.130, 0.370, 0.000)
Cd (0.370, 0.870, 0.000)
Cd (0.630, 0.130, 0.000)
Cd (0.870, 0.630, 0.000)
Ga (0.168, 0.668, 0.500)
Ga (0.332, 0.168, 0.500)
Ga (0.668, 0.832, 0.500)
Ga (0.832, 0.332, 0.500)
Bi (0.000, 0.000, 0.000)
Bi (0.500, 0.500, 0.000)

***

Entry 2:
This record from Alexandria describes Co2RhCl at its PBEsol-relaxed geometry. The functional is meta-GGA SCAN.

## Properties
Formation energy (no corrections), eV per formula unit: 2.000
V, A^3/atom: 12.79

Cell lengths 4.336, 4.336, 2.721 Å; angles 90.00, 90.00, 90.00 degrees
Positions (direct):
Co (0.000, 0.500, 0.000)
Co (0.500, 0.000, 0.000)
Rh (0.000, 0.000, 0.500)
Cl (0.500, 0.500, 0.500)

***

Entry 3:
This record from Alexandria describes Ca2Be at its PBEsol-relaxed geometry. The functional is meta-GGA SCAN.

## Properties
Energy relative to the lowest polymorph listed for this composition, meV/atom: 58
Formation energy from the elements, eV/atom: 0.327
V, A^3/atom: 27.54

Cell lengths 9.367, 9.367, 5.064 Å; angles 90.00, 90.00, 158.17 degrees
Positions (direct):
Ca (0.068, 0.932, 0.750)
Ca (0.193, 0.807, 0.250)
Ca (0.807, 0.193, 0.750)
Ca (0.932, 0.068, 0.250)
Be (0.442, 0.558, 0.750)
Be (0.558, 0.442, 0.250)

***

Entry 4:
This record from Alexandria describes ZrCuCl2 at its PBEsol-relaxed geometry. The functional is meta-GGA SCAN.

## Properties
Energy relative to the lowest polymorph listed for this composition, meV/atom: 346
Formation energy (no corrections), eV per formula unit: -0.456
V, A^3/atom: 17.59

Cell lengths 4.634, 4.634, 4.634 Å; angles 60.00, 60.00, 60.00 degrees
Positions (direct):
Zr (0.000, 0.000, 0.000)
Cu (0.750, 0.750, 0.750)
Cl (0.250, 0.250, 0.250)
Cl (0.500, 0.500, 0.500)

***

Entry 5:
This record from Alexandria describes ZrSeO at its PBEsol-relaxed geometry. The functional is meta-GGA SCAN.

## Properties
Energy relative to the lowest polymorph listed for this composition, meV/atom: 20
Formation energy (no corrections), eV per formula unit: -7.836
V, A^3/atom: 14.63

Cell lengths 3.649, 3.649, 6.590 Å; angles 90.00, 90.00, 90.00 degrees
Positions (direct):
Zr (0.250, 0.250, 0.185)
Zr (0.750, 0.750, 0.815)
Se (0.250, 0.250, 0.627)
Se (0.750, 0.750, 0.373)
O (0.250, 0.750, 0.000)
O (0.750, 0.250, 0.000)

***

Entry 6:
This record from Alexandria describes NbMo3P at its PBEsol-relaxed geometry. The functional is meta-GGA SCAN.

## Properties
Energy relative to the lowest polymorph listed for this composition, meV/atom: 0
Formation energy from the elements, eV/atom: 0.485
V, A^3/atom: 17.01

Cell lengths 4.398, 4.398, 4.398 Å; angles 90.00, 90.00, 90.00 degrees
Positions (direct):
Nb (0.000, 0.000, 0.000)
Mo (0.000, 0.500, 0.500)
Mo (0.500, 0.000, 0.500)
Mo (0.500, 0.500, 0.000)
P (0.500, 0.500, 0.500)

***

Entry 7:
This record from Alexandria describes BaAg2As at its PBEsol-relaxed geometry. The functional is meta-GGA SCAN.

## Properties
Formation energy from the elements, eV/atom: -0.178
V, A^3/atom: 24.81

Cell lengths 5.283, 5.283, 5.283 Å; angles 128.90, 114.65, 87.42 degrees
Positions (direct):
Ba (0.000, 0.000, 0.000)
Ag (0.306, 0.806, 0.500)
Ag (0.694, 0.194, 0.500)
As (0.500, 0.500, 0.000)

***

Entry 8:
This record from Alexandria describes Nd4Si2Se3O7 at its PBEsol-relaxed geometry. The functional is meta-GGA SCAN.

## Properties
Formation energy (no corrections), eV per formula unit: -49.681
V, A^3/atom: 16.25

Cell lengths 11.133, 11.133, 11.133 Å; angles 114.50, 114.50, 99.82 degrees
Positions (direct):
Nd (0.048, 0.298, 0.095)
Nd (0.048, 0.952, 0.750)
Nd (0.176, 0.666, 0.510)
Nd (0.298, 0.048, 0.595)
Nd (0.298, 0.702, 0.250)
Nd (0.334, 0.344, 0.510)
Nd (0.334, 0.824, 0.990)
Nd (0.344, 0.334, 0.010)
Nd (0.656, 0.666, 0.990)
Nd (0.666, 0.176, 0.010)
Nd (0.666, 0.656, 0.490)
Nd (0.702, 0.298, 0.750)
Nd (0.702, 0.952, 0.405)
Nd (0.824, 0.334, 0.490)
Nd (0.952, 0.048, 0.250)
Nd (0.952, 0.702, 0.905)
Si (0.093, 0.219, 0.626)
Si (0.093, 0.468, 0.874)
Si (0.219, 0.093, 0.126)
Si (0.468, 0.093, 0.374)
Si (0.532, 0.907, 0.626)
Si (0.781, 0.907, 0.874)
Si (0.907, 0.532, 0.126)
Si (0.907, 0.781, 0.374)
Se (0.000, 0.354, 0.354)
Se (0.000, 0.646, 0.646)
Se (0.125, 0.875, 0.250)
Se (0.354, 0.000, 0.854)
Se (0.354, 0.500, 0.354)
Se (0.375, 0.625, 0.750)
Se (0.500, 0.354, 0.854)
Se (0.500, 0.646, 0.146)
Se (0.625, 0.375, 0.250)
Se (0.646, 0.000, 0.146)
Se (0.646, 0.500, 0.646)
Se (0.875, 0.125, 0.750)
O (0.079, 0.568, 0.229)
O (0.079, 0.850, 0.511)
O (0.141, 0.391, 0.750)
O (0.150, 0.161, 0.229)
O (0.150, 0.921, 0.989)
O (0.161, 0.150, 0.729)
O (0.161, 0.432, 0.011)
O (0.170, 0.192, 0.522)
O (0.170, 0.647, 0.978)
O (0.192, 0.170, 0.022)
O (0.353, 0.830, 0.522)
O (0.391, 0.141, 0.250)
O (0.432, 0.161, 0.511)
O (0.432, 0.921, 0.271)
O (0.568, 0.079, 0.729)
O (0.568, 0.839, 0.489)
O (0.609, 0.859, 0.750)
O (0.647, 0.170, 0.478)
O (0.808, 0.830, 0.978)
O (0.830, 0.353, 0.022)
O (0.830, 0.808, 0.478)
O (0.839, 0.568, 0.989)
O (0.839, 0.850, 0.271)
O (0.850, 0.079, 0.011)
O (0.850, 0.839, 0.771)
O (0.859, 0.609, 0.250)
O (0.921, 0.150, 0.489)
O (0.921, 0.432, 0.771)